# 1
Entry from Alexandria: crystalline Na3Hg3Bi at its relaxed geometry (PBE).

a b c (Å): 7.144 7.144 7.867
angles (deg): 90.55 90.55 88.69
Fractional coordinates of all 14 atoms:
Na 0.008 0.008 0.268
Na 0.040 0.473 0.253
Na 0.473 0.040 0.253
Na 0.527 0.960 0.747
Na 0.960 0.527 0.747
Na 0.992 0.992 0.732
Hg 0.268 0.268 0.967
Hg 0.281 0.719 0.500
Hg 0.287 0.713 0.000
Hg 0.713 0.287 0.000
Hg 0.719 0.281 0.500
Hg 0.732 0.732 0.033
Bi 0.278 0.278 0.564
Bi 0.722 0.722 0.436

**Spin magnetization**: 0.000 μB/cell
**ΔH_f (0 K)**: -18.5 kJ/mol of atoms
**E**: -20.2 eV for the cell shown

# 2
Entry from Alexandria: crystalline InRuAu2 at its relaxed geometry (PBE).

a b c (Å): 4.976 4.976 4.869
angles (deg): 104.44 104.44 37.72
Fractional coordinates of all 4 atoms:
In 0.000 0.000 0.000
Ru 0.744 0.744 0.207
Au 0.246 0.246 0.708
Au 0.492 0.492 0.485

**Spin magnetization**: 0.000 μB/cell
**ΔH_f (0 K)**: 16.9 kJ/mol of atoms
**E**: -17.9 eV for the cell shown

# 3
Entry from Alexandria: crystalline TbZnCoNi at its relaxed geometry (PBE).

a b c (Å): 4.433 4.433 4.433
angles (deg): 60.00 60.00 60.00
Fractional coordinates of all 4 atoms:
Tb 0.000 0.000 0.000
Zn 0.500 0.500 0.500
Co 0.750 0.750 0.750
Ni 0.250 0.250 0.250

**Spin magnetization**: 0.000 μB/cell
**ΔH_f (0 K)**: -13.7 kJ/mol of atoms
**E**: -19.4 eV for the cell shown

# 4
Entry from Alexandria: crystalline DyYPtAu at its relaxed geometry (PBE).

a b c (Å): 5.019 5.019 5.019
angles (deg): 60.00 60.00 60.00
Fractional coordinates of all 4 atoms:
Dy 0.000 0.000 0.000
Y 0.500 0.500 0.500
Pt 0.250 0.250 0.250
Au 0.750 0.750 0.750

**Spin magnetization**: 0.000 μB/cell
**ΔH_f (0 K)**: -99.6 kJ/mol of atoms
**E**: -24.5 eV for the cell shown

# 5
Entry from Alexandria: crystalline Pr3SiO6 at its relaxed geometry (PBE).

a b c (Å): 7.412 7.412 5.703
angles (deg): 90.00 90.00 102.34
Fractional coordinates of all 20 atoms:
Pr 0.102 0.898 0.500
Pr 0.211 0.415 0.466
Pr 0.415 0.211 0.966
Pr 0.585 0.789 0.466
Pr 0.789 0.585 0.966
Pr 0.898 0.102 0.000
Si 0.306 0.694 0.917
Si 0.694 0.306 0.417
O 0.105 0.611 0.784
O 0.144 0.169 0.728
O 0.169 0.144 0.228
O 0.284 0.716 0.202
O 0.389 0.895 0.784
O 0.447 0.553 0.840
O 0.553 0.447 0.340
O 0.611 0.105 0.284
O 0.716 0.284 0.702
O 0.831 0.856 0.728
O 0.856 0.831 0.228
O 0.895 0.389 0.284

**Spin magnetization**: 0.000 μB/cell
**E**: -160.5 eV for the cell shown
**Formation energy (no corrections)**: -3.073 eV/atom

# 6
Entry from Alexandria: crystalline Er3Zn4Au2 at its relaxed geometry (PBE).

a b c (Å): 5.690 5.690 8.569
angles (deg): 112.98 112.98 46.51
Fractional coordinates of all 9 atoms:
Er 0.000 0.000 0.000
Er 0.326 0.326 0.341
Er 0.674 0.674 0.659
Zn 0.041 0.041 0.382
Zn 0.276 0.276 0.949
Zn 0.724 0.724 0.051
Zn 0.959 0.959 0.618
Au 0.396 0.396 0.730
Au 0.604 0.604 0.270

**Spin magnetization**: 0.000 μB/cell
**ΔH_f (0 K)**: -54.9 kJ/mol of atoms
**E**: -30.5 eV for the cell shown